Mn4TlAg | PBE-GGA | optimized geometry

## Properties
crystal system = cubic
magnetic moment = 9.372 Bohr magnetons per cell
formation enthalpy at 0 K = 0.55 eV per atom

Lattice parameters (Å, degrees): 5.021 5.021 5.021 60.00 60.00 60.00
Atoms (fractional coordinates):
Mn (0.125, 0.625, 0.625)
Mn (0.625, 0.625, 0.625)
Tl (0.250, 0.250, 0.250)
Ag (0.000, 0.000, 0.000)
Mn (0.625, 0.625, 0.125)
Mn (0.625, 0.125, 0.625)